i) VASP calculation (PBE) on crystalline KCd2Fe at its relaxed geometry.

abc: 4.714 4.714 7.779
angles: 85.62 85.62 36.16
Element x y z (fractional)
Cd 0.485 0.485 0.576
Cd 0.015 0.015 0.924
Fe 0.750 0.750 0.750
K 0.250 0.250 0.250

For the density of states at the Fermi level, the calculation gives 0.760 states/eV per atom.

---

ii) VASP calculation (PBE) on crystalline KCd2Fe at its relaxed geometry.

abc: 10.821 10.821 10.821
angles: 16.54 16.54 16.54
Element x y z (fractional)
K 0.750 0.750 0.750
Fe 0.250 0.250 0.250
Cd 0.514 0.514 0.514
Cd 0.986 0.986 0.986

For the density of states at the Fermi level, the calculation gives 0.540 states/eV per atom.

---

Most stable = i)

---

i) VASP calculation (PBE) on crystalline KCd2Fe at its relaxed geometry.

abc: 6.617 6.617 6.617
angles: 153.91 128.31 58.80
Element x y z (fractional)
Cd 0.550 0.550 0.000
Cd 0.950 0.950 0.000
Fe 0.750 0.250 0.500
K 0.250 0.750 0.500

For the density of states at the Fermi level, the calculation gives 1.340 states/eV per atom.

---

ii) VASP calculation (PBE) on crystalline KCd2Fe at its relaxed geometry.

abc: 5.601 5.601 9.800
angles: 73.39 73.39 90.00
Element x y z (fractional)
Fe 0.000 0.000 0.000
Fe 0.750 0.250 0.500
Cd 0.875 0.093 0.750
Cd 0.907 0.625 0.250
Cd 0.375 0.157 0.750
Cd 0.843 0.125 0.250
K 0.250 0.750 0.500
K 0.500 0.500 0.000

For the density of states at the Fermi level, the calculation gives 1.009 states/eV per atom.

---

Most stable = i)